(1)
# MnBi2AuCl

A relaxed structure of MnBi2AuCl (GGA-PBE, Alexandria).

a = 5.613 Å, b = 4.927 Å, c = 5.613 Å
α = 90.00°, β = 90.00°, γ = 90.00°
Sites, in units of the cell vectors:
Bi 0.500 0.000 0.000
Bi 0.000 0.000 0.500
Cl 0.000 0.500 0.000
Mn 0.500 0.500 0.500
Au 0.000 0.000 0.000

Summary:
Its symmetry is No. 123. The electronic total energy comes out at -3.7811 eV per atom.

(2)
# NiBiAu2Cl

A relaxed structure of NiBiAu2Cl (GGA-PBE, Alexandria).

a = 5.088 Å, b = 4.201 Å, c = 5.088 Å
α = 90.00°, β = 90.00°, γ = 90.00°
Sites, in units of the cell vectors:
Au 0.000 0.000 0.500
Au 0.500 0.000 0.000
Bi 0.500 0.500 0.500
Ni 0.000 0.000 0.000
Cl 0.000 0.500 0.000

Summary:
Its symmetry is No. 123. The electronic total energy comes out at -3.3792 eV per atom.

(3)
# BiPAuCl2

A relaxed structure of BiPAuCl2 (GGA-PBE, Alexandria).

a = 4.923 Å, b = 4.923 Å, c = 5.072 Å
α = 90.00°, β = 90.00°, γ = 90.00°
Sites, in units of the cell vectors:
Cl 0.000 0.500 0.000
Cl 0.500 0.000 0.000
Au 0.000 0.000 0.000
Bi 0.500 0.500 0.500
P 0.000 0.000 0.500

Summary:
Its symmetry is No. 123. For the energy above the lowest structure with this stoichiometry, the calculation gives 0.193 eV/atom.

(4)
# BiPAuCl2

A relaxed structure of BiPAuCl2 (GGA-PBE, Alexandria).

a = 4.566 Å, b = 6.004 Å, c = 4.566 Å
α = 90.00°, β = 90.00°, γ = 90.00°
Sites, in units of the cell vectors:
Bi 0.000 0.500 0.000
Cl 0.000 0.000 0.500
Cl 0.500 0.000 0.000
Au 0.500 0.500 0.500
P 0.000 0.000 0.000

Summary:
Its symmetry is No. 123. For the energy above the lowest structure with this stoichiometry, the calculation gives 0.000 eV/atom.

no.,M_tot (μB per formula unit)
1,4.11
2,0.00
3,0.00
4,0.00